Run a
Computed, not measured: a relaxed structure of LaThSnHg at the PBE level of DFT.

Cell and atoms, written as CIF:
```
data_LaThSnHg
_chemical_formula_sum 'La4 Th4 Sn4 Hg4'
_cell_length_a 7.777
_cell_length_b 7.777
_cell_length_c 7.777
_cell_angle_alpha 90.00
_cell_angle_beta 90.00
_cell_angle_gamma 90.00
_space_group_name_H-M_alt 'F -4 3 m'
_space_group_IT_number 216
_space_group_name_Hall 'F -4 2 3'
loop_
_atom_site_label
_atom_site_type_symbol
_atom_site_fract_x
_atom_site_fract_y
_atom_site_fract_z
_atom_site_occupancy
La1 La 0.000 0.000 0.000 1
Th1 Th 0.000 0.000 0.500 1
Sn1 Sn 0.250 0.250 0.250 1
Hg1 Hg 0.250 0.250 0.750 1
```

Properties
- theoretical density (g cm⁻³) = 9.75
- total magnetic moment (μB/cell) = 0.000
- crystal system = cubic
- volume (Å³ per atom) = 29.40

Run b
Computed, not measured: a relaxed structure of LaThSnHg at the PBE level of DFT.

Cell and atoms, written as CIF:
```
data_LaThSnHg
_chemical_formula_sum 'La1 Th1 Sn1 Hg1'
_cell_length_a 4.109
_cell_length_b 4.109
_cell_length_c 6.966
_cell_angle_alpha 90.00
_cell_angle_beta 90.00
_cell_angle_gamma 90.00
_space_group_name_H-M_alt 'P 4 m m'
_space_group_IT_number 99
loop_
_space_group_symop_operation_xyz
'x,y,z'
'-y,x,z'
'-x,-y,z'
'y,-x,z'
'-x,y,z'
'y,x,z'
'x,-y,z'
'-y,-x,z'
loop_
_atom_site_label
_atom_site_type_symbol
_atom_site_fract_x
_atom_site_fract_y
_atom_site_fract_z
_atom_site_occupancy
La1 La 0.000 0.000 0.000 1
Th1 Th 0.000 0.000 0.480 1
Sn1 Sn 0.500 0.500 0.257 1
Hg1 Hg 0.500 0.500 0.734 1
```

Properties
- theoretical density (g cm⁻³) = 9.75
- total magnetic moment (μB/cell) = 0.311
- crystal system = tetragonal
- volume (Å³ per atom) = 29.40

On energetic grounds, run b is preferred over the next structure by 0.030 eV/atom.

Run a
Computed, not measured: a relaxed structure of SrLaHg4 at the PBE level of DFT.

Cell and atoms, written as CIF:
```
data_SrLaHg4
_chemical_formula_sum 'Sr1 La1 Hg4'
_cell_length_a 5.930
_cell_length_b 3.979
_cell_length_c 8.244
_cell_angle_alpha 90.00
_cell_angle_beta 99.96
_cell_angle_gamma 90.00
_space_group_name_H-M_alt 'P 1 2/m 1'
_space_group_IT_number 10
loop_
_space_group_symop_operation_xyz
'x,y,z'
'-x,-y,-z'
'-x,y,-z'
'x,-y,z'
loop_
_atom_site_label
_atom_site_type_symbol
_atom_site_fract_x
_atom_site_fract_y
_atom_site_fract_z
_atom_site_occupancy
Sr1 Sr 0.000 0.000 0.000 1
La1 La 0.500 0.500 0.500 1
Hg1 Hg 0.034 0.500 0.683 1
Hg2 Hg 0.466 0.000 0.811 1
```

Properties
- theoretical density (g cm⁻³) = 8.92
- total magnetic moment (μB/cell) = 0.000
- crystal system = monoclinic
- volume (Å³ per atom) = 31.93

Run b
Computed, not measured: a relaxed structure of SrLaHg4 at the PBE level of DFT.

Cell and atoms, written as CIF:
```
data_SrLaHg4
_chemical_formula_sum 'Sr4 La4 Hg16'
_cell_length_a 8.721
_cell_length_b 8.721
_cell_length_c 8.721
_cell_angle_alpha 90.00
_cell_angle_beta 90.00
_cell_angle_gamma 90.00
_space_group_name_H-M_alt 'F -4 3 m'
_space_group_IT_number 216
_space_group_name_Hall 'F -4 2 3'
loop_
_atom_site_label
_atom_site_type_symbol
_atom_site_fract_x
_atom_site_fract_y
_atom_site_fract_z
_atom_site_occupancy
Sr1 Sr 0.000 0.000 0.000 1
La1 La 0.250 0.250 0.250 1
Hg1 Hg 0.125 0.125 0.625 1
```

Properties
- theoretical density (g cm⁻³) = 10.30
- total magnetic moment (μB/cell) = 0.000
- crystal system = cubic
- volume (Å³ per atom) = 27.64

On energetic grounds, run b is preferred over the next structure by 0.044 eV/atom.

Run a
Computed, not measured: a relaxed structure of LaTa3Hg at the PBE level of DFT.

Cell and atoms, written as CIF:
```
data_LaTa3Hg
_chemical_formula_sum 'La1 Ta3 Hg1'
_cell_length_a 4.938
_cell_length_b 4.938
_cell_length_c 4.938
_cell_angle_alpha 90.00
_cell_angle_beta 90.00
_cell_angle_gamma 90.00
_space_group_name_H-M_alt 'P m -3 m'
_space_group_IT_number 221
_space_group_name_Hall '-P 4 2 3'
loop_
_atom_site_label
_atom_site_type_symbol
_atom_site_fract_x
_atom_site_fract_y
_atom_site_fract_z
_atom_site_occupancy
La1 La 0.000 0.000 0.000 1
Ta1 Ta 0.000 0.000 0.500 1
Hg1 Hg 0.500 0.500 0.500 1
```

Properties
- theoretical density (g cm⁻³) = 12.17
- total magnetic moment (μB/cell) = 0.000
- crystal system = cubic
- volume (Å³ per atom) = 24.08

Run b
Computed, not measured: a relaxed structure of LaTa3Hg at the PBE level of DFT.

Cell and atoms, written as CIF:
```
data_LaTa3Hg
_chemical_formula_sum 'La1 Ta3 Hg1'
_cell_length_a 5.147
_cell_length_b 5.147
_cell_length_c 5.147
_cell_angle_alpha 90.00
_cell_angle_beta 90.00
_cell_angle_gamma 90.00
_space_group_name_H-M_alt 'P m -3 m'
_space_group_IT_number 221
_space_group_name_Hall '-P 4 2 3'
loop_
_atom_site_label
_atom_site_type_symbol
_atom_site_fract_x
_atom_site_fract_y
_atom_site_fract_z
_atom_site_occupancy
La1 La 0.000 0.000 0.000 1
Ta1 Ta 0.000 0.500 0.500 1
Hg1 Hg 0.500 0.500 0.500 1
```

Properties
- theoretical density (g cm⁻³) = 10.74
- total magnetic moment (μB/cell) = 0.000
- crystal system = cubic
- volume (Å³ per atom) = 27.27

On energetic grounds, run b is preferred over the next structure by 0.410 eV/atom.

Run a
Computed, not measured: a relaxed structure of LaTaHg2 at the PBE level of DFT.

Cell and atoms, written as CIF:
```
data_LaTaHg2
_chemical_formula_sum 'La3 Ta3 Hg6'
_cell_length_a 3.3060
_cell_length_b 3.3060
_cell_length_c 30.9811
_cell_angle_alpha 90.00
_cell_angle_beta 90.00
_cell_angle_gamma 120.00
_space_group_name_H-M_alt 'R 3 m'
_space_group_IT_number 160
_space_group_name_Hall 'R 3 -2"'
loop_
_atom_site_label
_atom_site_type_symbol
_atom_site_fract_x
_atom_site_fract_y
_atom_site_fract_z
_atom_site_occupancy
La1 La 0.0000 0.0000 0.0000 1
Ta1 Ta 0.0000 0.0000 0.2500 1
Hg1 Hg 0.0000 0.0000 0.5097 1
Hg2 Hg 0.0000 0.0000 0.7600 1
```

Properties
- theoretical density (g cm⁻³) = 12.25
- total magnetic moment (μB/cell) = 0.000
- crystal system = trigonal
- volume (Å³ per atom) = 24.44

Run b
Computed, not measured: a relaxed structure of LaTaHg2 at the PBE level of DFT.

Cell and atoms, written as CIF:
```
data_LaTaHg2
_chemical_formula_sum 'La3 Ta3 Hg6'
_cell_length_a 3.2003
_cell_length_b 3.2003
_cell_length_c 31.6342
_cell_angle_alpha 90.00
_cell_angle_beta 90.00
_cell_angle_gamma 120.00
_space_group_name_H-M_alt 'R -3 m'
_space_group_IT_number 166
_space_group_name_Hall '-R 3 2"'
loop_
_atom_site_label
_atom_site_type_symbol
_atom_site_fract_x
_atom_site_fract_y
_atom_site_fract_z
_atom_site_occupancy
La1 La 0.0000 0.0000 0.0000 1
Ta1 Ta 0.0000 0.0000 0.5000 1
Hg1 Hg 0.0000 0.0000 0.2421 1
```

Properties
- theoretical density (g cm⁻³) = 12.80
- total magnetic moment (μB/cell) = 1.215
- crystal system = trigonal
- volume (Å³ per atom) = 23.38

On energetic grounds, run b is preferred over the next structure by 0.036 eV/atom.

Run a
Computed, not measured: a relaxed structure of LaTb4Hg at the PBE level of DFT.

Cell and atoms, written as CIF:
```
data_LaTb4Hg
_chemical_formula_sum 'La1 Tb4 Hg1'
_cell_length_a 3.640
_cell_length_b 3.640
_cell_length_c 14.004
_cell_angle_alpha 90.00
_cell_angle_beta 90.00
_cell_angle_gamma 90.00
_space_group_name_H-M_alt 'P 4/m m m'
_space_group_IT_number 123
_space_group_name_Hall '-P 4 2'
loop_
_atom_site_label
_atom_site_type_symbol
_atom_site_fract_x
_atom_site_fract_y
_atom_site_fract_z
_atom_site_occupancy
La1 La 0.000 0.000 0.000 1
Tb1 Tb 0.000 0.000 0.359 1
Tb2 Tb 0.500 0.500 0.183 1
Hg1 Hg 0.500 0.500 0.500 1
```

Properties
- theoretical density (g cm⁻³) = 8.73
- total magnetic moment (μB/cell) = 0.002
- crystal system = tetragonal
- volume (Å³ per atom) = 30.93

Run b
Computed, not measured: a relaxed structure of LaTb4Hg at the PBE level of DFT.

Cell and atoms, written as CIF:
```
data_LaTb4Hg
_chemical_formula_sum 'La4 Tb16 Hg4'
_cell_length_a 8.857
_cell_length_b 14.026
_cell_length_c 6.407
_cell_angle_alpha 90.00
_cell_angle_beta 109.14
_cell_angle_gamma 90.00
_space_group_name_H-M_alt 'C 1 2/c 1'
_space_group_IT_number 15
loop_
_space_group_symop_operation_xyz
'x,y,z'
'-x,-y,-z'
'-x,y,-z+1/2'
'x,-y,z+1/2'
'x+1/2,y+1/2,z'
'-x+1/2,-y+1/2,-z'
'-x+1/2,y+1/2,-z+1/2'
'x+1/2,-y+1/2,z+1/2'
loop_
_atom_site_label
_atom_site_type_symbol
_atom_site_fract_x
_atom_site_fract_y
_atom_site_fract_z
_atom_site_occupancy
La1 La 0.000 0.095 0.250 1
Tb1 Tb 0.098 0.313 0.547 1
Tb2 Tb 0.221 0.117 0.871 1
Hg1 Hg 0.000 0.499 0.250 1
```

Properties
- theoretical density (g cm⁻³) = 8.61
- total magnetic moment (μB/cell) = 0.000
- crystal system = monoclinic
- volume (Å³ per atom) = 31.33

On energetic grounds, run a is preferred over the next structure by 0.086 eV/atom.

Run a
Computed, not measured: a relaxed structure of La4TbHg at the PBE level of DFT.

Cell and atoms, written as CIF:
```
data_La4TbHg
_chemical_formula_sum 'La4 Tb1 Hg1'
_cell_length_a 3.772
_cell_length_b 3.772
_cell_length_c 14.164
_cell_angle_alpha 90.00
_cell_angle_beta 90.00
_cell_angle_gamma 90.00
_space_group_name_H-M_alt 'P 4/m m m'
_space_group_IT_number 123
_space_group_name_Hall '-P 4 2'
loop_
_atom_site_label
_atom_site_type_symbol
_atom_site_fract_x
_atom_site_fract_y
_atom_site_fract_z
_atom_site_occupancy
La1 La 0.000 0.000 0.146 1
La2 La 0.500 0.500 0.325 1
Tb1 Tb 0.000 0.000 0.500 1
Hg1 Hg 0.500 0.500 0.000 1
```

Properties
- theoretical density (g cm⁻³) = 7.54
- total magnetic moment (μB/cell) = 0.000
- crystal system = tetragonal
- volume (Å³ per atom) = 33.58

Run b
Computed, not measured: a relaxed structure of La4TbHg at the PBE level of DFT.

Cell and atoms, written as CIF:
```
data_La4TbHg
_chemical_formula_sum 'La4 Tb1 Hg1'
_cell_length_a 5.454
_cell_length_b 5.454
_cell_length_c 7.683
_cell_angle_alpha 90.00
_cell_angle_beta 90.00
_cell_angle_gamma 90.00
_space_group_name_H-M_alt 'P 4/m m m'
_space_group_IT_number 123
_space_group_name_Hall '-P 4 2'
loop_
_atom_site_label
_atom_site_type_symbol
_atom_site_fract_x
_atom_site_fract_y
_atom_site_fract_z
_atom_site_occupancy
La1 La 0.000 0.500 0.242 1
Tb1 Tb 0.000 0.000 0.500 1
Hg1 Hg 0.500 0.500 0.000 1
```

Properties
- theoretical density (g cm⁻³) = 6.65
- total magnetic moment (μB/cell) = 0.001
- crystal system = tetragonal
- volume (Å³ per atom) = 38.09

On energetic grounds, run a is preferred over the next structure by 0.372 eV/atom.